1.
A relaxed Rb2BaZrAu crystal. Source: Alexandria via LeMat-Bulk, functional PBE.

Results
ΔH_f (0 K) = 967 meV/atom
final energy = -0.080 hartree per atom
magnetic moment = 5.0 μB per formula unit
N(E_F) = 1.40 states/eV/cell
crystal system = tetragonal

Unit cell a=6.8345 b=6.6795 c=6.8345 alpha=90.00 beta=90.00 gamma=90.00
Each line ends with the local moment (μB).
Fractional coordinates of all 5 atoms:
Rb1 0.0000 0.0000 0.5000  0.06
Rb2 0.5000 0.0000 0.0000  0.06
Ba1 0.0000 0.5000 0.0000  0.31
Au1 0.5000 0.5000 0.5000  0.01
Zr1 0.0000 0.0000 0.0000  1.90

---

2.
A relaxed GaFeReH crystal. Source: Alexandria via LeMat-Bulk, functional PBE.

Results
final energy = -0.249 hartree per atom
magnetic moment = 1.4 μB per formula unit
energy above the lowest structure with this stoichiometry = 4 meV/atom
N(E_F) = 7.92 states/eV/cell
crystal system = trigonal

Unit cell a=2.8087 b=2.8087 c=18.7682 alpha=90.00 beta=90.00 gamma=120.00
Each line ends with the local moment (μB).
Fractional coordinates of all 12 atoms:
Ga1 0.6667 0.3333 0.2938  -0.04
Ga2 0.3333 0.6667 0.6271  -0.04
Ga3 0.0000 0.0000 0.9604  -0.04
H1 0.0000 0.0000 0.7736  -0.01
H2 0.3333 0.6667 0.4403  -0.01
H3 0.6667 0.3333 0.1070  -0.01
Fe1 0.6667 0.3333 0.7317  1.51
Fe2 0.0000 0.0000 0.3984  1.51
Fe3 0.3333 0.6667 0.0650  1.51
Re1 0.3333 0.6667 0.8433  -0.06
Re2 0.0000 0.0000 0.1767  -0.06
Re3 0.6667 0.3333 0.5100  -0.06

---

3.
A relaxed ScIN2O crystal. Source: Alexandria via LeMat-Bulk, functional PBE.

Results
final energy = -0.169 hartree per atom
magnetic moment = 0.0 μB per formula unit
N(E_F) = 2.35 states/eV/cell
crystal system = tetragonal
raw formation energy = 1312 meV/atom

Unit cell a=4.1277 b=4.1277 c=4.0912 alpha=90.00 beta=90.00 gamma=90.00
Fractional coordinates of all 5 atoms:
I1 0.0000 0.0000 0.5000
N1 0.0000 0.5000 0.0000
N2 0.5000 0.0000 0.0000
O1 0.0000 0.0000 0.0000
Sc1 0.5000 0.5000 0.5000

---

4.
A relaxed ReMo2Ir crystal. Source: Alexandria via LeMat-Bulk, functional PBE.

Results
ΔH_f (0 K) = -22 meV/atom
final energy = -0.396 hartree per atom
magnetic moment = 0.0 μB per formula unit
energy above the lowest structure with this stoichiometry = 48 meV/atom
N(E_F) = 5.81 states/eV/cell
crystal system = tetragonal

Unit cell a=2.7841 b=2.7841 c=7.8974 alpha=90.00 beta=90.00 gamma=90.00
Fractional coordinates of all 4 atoms:
Mo1 0.0000 0.0000 0.9988
Mo2 0.0000 0.0000 0.5012
Ir1 0.5000 0.5000 0.7500
Re1 0.5000 0.5000 0.2500

---

5.
A relaxed Zn2BiPBr crystal. Source: Alexandria via LeMat-Bulk, functional PBE.

Results
final energy = -0.070 hartree per atom
magnetic moment = 2.2 μB per formula unit
N(E_F) = 2.97 states/eV/cell
crystal system = tetragonal
raw formation energy = 786 meV/atom

Unit cell a=5.6371 b=5.6371 c=5.7176 alpha=90.00 beta=90.00 gamma=90.00
Each line ends with the local moment (μB).
Fractional coordinates of all 5 atoms:
Zn1 0.0000 0.5000 0.0000  -0.03
Zn2 0.5000 0.0000 0.0000  -0.03
Br1 0.0000 0.0000 0.5000  0.05
Bi1 0.0000 0.0000 0.0000  -0.11
P1 0.5000 0.5000 0.5000  1.00

---

6.
A relaxed Ga3RuCl crystal. Source: Alexandria via LeMat-Bulk, functional PBE.

Results
final energy = -0.112 hartree per atom
magnetic moment = 2.0 μB per formula unit
energy above the lowest structure with this stoichiometry = 1273 meV/atom
N(E_F) = 3.77 states/eV/cell
crystal system = cubic
raw formation energy = 991 meV/atom

Unit cell a=4.8980 b=4.8980 c=4.8980 alpha=90.00 beta=90.00 gamma=90.00
Each line ends with the local moment (μB).
Fractional coordinates of all 5 atoms:
Ga1 0.0000 0.0000 0.5000  -0.01
Ga2 0.5000 0.0000 0.0000  0.00
Ga3 0.0000 0.5000 0.0000  -0.03
Ru1 0.5000 0.5000 0.5000  1.97
Cl1 0.0000 0.0000 0.0000  -0.01

---

7.
A relaxed FeCo2Os crystal. Source: Alexandria via LeMat-Bulk, functional PBE.

Results
ΔH_f (0 K) = 284 meV/atom
final energy = -0.301 hartree per atom
magnetic moment = 4.9 μB per formula unit
energy above the lowest structure with this stoichiometry = 190 meV/atom
N(E_F) = 8.89 states/eV/cell
crystal system = cubic

Unit cell a=4.0792 b=4.0792 c=4.0792 alpha=60.00 beta=60.00 gamma=60.00
Each line ends with the local moment (μB).
Fractional coordinates of all 4 atoms:
Fe1 0.5000 0.5000 0.5000  2.16
Co1 0.2500 0.2500 0.2500  1.36
Co2 0.0000 0.0000 0.0000  1.22
Os1 0.7500 0.7500 0.7500  0.20

---

8.
A relaxed CaLa2SnO6 crystal. Source: Alexandria via LeMat-Bulk, functional PBE.

Results
final energy = -0.272 hartree per atom
magnetic moment = 0.0 μB per formula unit
N(E_F) = 0.00 states/eV/cell
crystal system = trigonal
raw formation energy = -2836 meV/atom

Unit cell a=5.9399 b=5.9399 c=6.0164 alpha=60.42 beta=60.42 gamma=60.00
Fractional coordinates of all 10 atoms:
Sn1 0.3150 0.3150 0.0551
Ca1 0.8099 0.8099 0.5703
O1 0.5771 0.1869 0.2634
O2 0.6656 0.1147 0.7803
O3 0.9726 0.5771 0.2634
O4 0.4394 0.6656 0.7803
O5 0.1147 0.4394 0.7803
O6 0.1869 0.9726 0.2634
La1 0.5396 0.5396 0.3812
La2 0.0409 0.0409 0.8774

---

9.
A relaxed LaGd3Ni crystal. Source: Alexandria via LeMat-Bulk, functional PBE.

Results
ΔH_f (0 K) = -67 meV/atom
final energy = -0.392 hartree per atom
magnetic moment = 22.7 μB per formula unit
N(E_F) = 6.99 states/eV/cell
crystal system = cubic

Unit cell a=5.4076 b=5.4076 c=5.4076 alpha=90.00 beta=90.00 gamma=90.00
Each line ends with the local moment (μB).
Fractional coordinates of all 5 atoms:
Gd1 0.0000 0.0000 0.5000  7.13
Gd2 0.0000 0.5000 0.0000  7.13
Gd3 0.5000 0.0000 0.0000  7.13
La1 0.5000 0.5000 0.5000  0.20
Ni1 0.0000 0.0000 0.0000  0.07

---

10.
A relaxed NaTl2PdPb crystal. Source: Alexandria via LeMat-Bulk, functional PBE.

Results
ΔH_f (0 K) = -9 meV/atom
final energy = -0.110 hartree per atom
magnetic moment = 0.0 μB per formula unit
energy above the lowest structure with this stoichiometry = 0 meV/atom
N(E_F) = 2.80 states/eV/cell
crystal system = tetragonal

Unit cell a=5.3721 b=5.3721 c=5.4957 alpha=90.00 beta=90.00 gamma=90.00
Fractional coordinates of all 5 atoms:
Pd1 0.0000 0.0000 0.0000
Tl1 0.5000 0.0000 0.0000
Tl2 0.0000 0.5000 0.0000
Pb1 0.0000 0.0000 0.5000
Na1 0.5000 0.5000 0.5000

---

11.
A relaxed Hf2Zr3Bi4 crystal. Source: Alexandria via LeMat-Bulk, functional PBE.

Results
ΔH_f (0 K) = -124 meV/atom
final energy = -0.254 hartree per atom
magnetic moment = 0.0 μB per formula unit
N(E_F) = 5.37 states/eV/cell
crystal system = trigonal

Unit cell a=5.2252 b=5.2243 c=9.2450 alpha=90.01 beta=90.00 gamma=120.01
Fractional coordinates of all 9 atoms:
Zr1 0.0000 0.0000 0.0000
Zr2 0.6665 0.3331 0.7811
Zr3 0.3335 0.6669 0.2189
Bi1 0.3332 0.6665 0.8862
Bi2 0.0002 0.0003 0.3296
Bi3 0.9998 0.9997 0.6704
Bi4 0.6668 0.3335 0.1138
Hf1 0.3333 0.6666 0.5473
Hf2 0.6667 0.3334 0.4527

---

12.
A relaxed Nd3TlCu8 crystal. Source: Alexandria via LeMat-Bulk, functional PBE.

Results
ΔH_f (0 K) = -117 meV/atom
final energy = -0.156 hartree per atom
magnetic moment = 0.0 μB per formula unit
N(E_F) = 7.09 states/eV/cell
crystal system = trigonal

Unit cell a=5.3266 b=5.3266 c=8.6510 alpha=90.00 beta=90.00 gamma=120.00
Fractional coordinates of all 12 atoms:
Cu1 0.0061 0.5030 0.7523
Cu2 0.3333 0.6667 0.0046
Cu3 0.1688 0.8312 0.2494
Cu4 0.6623 0.8312 0.2494
Cu5 0.1688 0.3377 0.2494
Cu6 0.4970 0.9939 0.7523
Cu7 0.4970 0.5030 0.7523
Cu8 0.3333 0.6667 0.5034
Nd1 0.6667 0.3333 0.4520
Nd2 0.0000 0.0000 0.9223
Nd3 0.6667 0.3333 0.0639
Tl1 0.0000 0.0000 0.5487

---

13.
A relaxed Ac3Ni3Ir2 crystal. Source: Alexandria via LeMat-Bulk, functional PBE.

Results
ΔH_f (0 K) = -407 meV/atom
final energy = -0.233 hartree per atom
magnetic moment = 0.0 μB per formula unit
N(E_F) = 13.07 states/eV/cell
crystal system = orthorhombic

Unit cell a=4.2928 b=5.9030 c=15.9125 alpha=90.00 beta=90.00 gamma=111.32
Fractional coordinates of all 16 atoms:
Ac1 0.4385 0.8771 0.7500
Ac2 0.8549 0.7098 0.0872
Ac3 0.1451 0.2902 0.9128
Ac4 0.5615 0.1229 0.2500
Ac5 0.1451 0.2902 0.5872
Ac6 0.8549 0.7098 0.4128
Ni1 0.4278 0.8555 0.9445
Ni2 0.5722 0.1445 0.0555
Ni3 0.2629 0.5258 0.2500
Ni4 0.7371 0.4742 0.7500
Ni5 0.5722 0.1445 0.4445
Ni6 0.4278 0.8555 0.5555
Ir1 0.1458 0.2917 0.1141
Ir2 0.8542 0.7083 0.6141
Ir3 0.8542 0.7083 0.8859
Ir4 0.1458 0.2917 0.3859